(1)
CsNaCa2Au after structural relaxation. Source: the Alexandria database, functional PBE.

## Properties
The size of the total moment comes out at 0.00 μB per formula unit. The density comes out at 3.312 g/cm3. The space group is P4/mmm, No. 123. The calculation puts the raw total energy at -10.35 eV/cell.

```
CsNaCa2Au
1.0
5.875 0.000 0.000
0.000 5.875 0.000
0.000 0.000 6.290
Cs Na Ca Au
1 1 2 1
Cartesian
0.000 0.000 0.000
2.938 2.938 0.000
0.000 2.938 3.145
2.938 0.000 3.145
2.938 2.938 3.145
```

---

(2)
Cs7CaAu5O2 after structural relaxation. Source: the Alexandria database, functional PBE.

## Properties
The size of the total moment comes out at 0.00 μB per formula unit. As for the uncorrected formation energy: -0.534 eV/atom. The density comes out at 5.257 g/cm3. The space group is Cm, No. 8.

```
Cs7CaAu5O2
1.0
8.699 -6.097 0.000
8.699 6.097 0.000
-1.982 0.000 5.917
Cs Ca Au O
7 1 5 2
Cartesian
0.000 0.000 0.000
2.497 2.042 3.152
6.685 2.330 1.466
2.497 -2.042 3.152
8.548 2.033 5.282
6.685 -2.330 1.466
8.548 -2.033 5.282
12.135 0.000 3.028
3.604 0.000 0.258
5.519 0.000 4.315
9.417 0.000 2.226
13.607 0.000 0.112
15.058 0.000 2.556
9.540 2.032 2.266
9.540 -2.032 2.266
```

---

(3)
CsCaAuO2 after structural relaxation. Source: the Alexandria database, functional PBE.

## Properties
The size of the total moment comes out at 0.00 μB per formula unit. As for the uncorrected formation energy: -1.544 eV/atom. The density comes out at 5.646 g/cm3. The space group is Cmme, No. 67.

```
CsCaAuO2
1.0
3.350 -6.698 0.000
3.350 6.698 0.000
0.000 0.000 5.268
Cs Ca Au O
2 2 2 4
Cartesian
3.350 3.349 3.961
3.350 -3.349 1.308
1.675 0.000 2.634
5.025 0.000 2.634
0.000 0.000 0.000
3.350 0.000 0.000
3.350 5.458 1.643
3.350 1.241 1.643
3.350 -1.241 3.625
3.350 -5.458 3.625
```